A plane-wave DFT calculation with PBE was carried out for BaHfCoS2 after structural relaxation.

Calculated values
energy relative to the elements, uncorrected	-825.1	meV/atom
DFT total energy	-31.36	eV/cell

Cell lengths 5.0357, 4.7916, 5.0357 Å; angles 90.00, 90.00, 90.00 degrees
Each line ends with the local moment (μB).
Sites, in units of the cell vectors:
S 0.0000 0.0000 0.5000  0.01
Ba 0.5000 0.5000 0.5000  -0.02
Co 0.0000 0.5000 0.0000  1.18
Hf 0.0000 0.0000 0.0000  -0.14
S 0.5000 0.0000 0.0000  0.01

=====

A plane-wave DFT calculation with PBE was carried out for BaHfCoSe2 after structural relaxation.

Calculated values
energy relative to the elements, uncorrected	306.2	meV/atom
DFT total energy	-24.42	eV/cell

Cell lengths 4.9017, 4.9192, 4.9017 Å; angles 90.00, 90.00, 90.00 degrees
Sites, in units of the cell vectors:
Hf 0.5000 0.5000 0.5000
Se 0.5000 0.0000 0.0000
Se 0.0000 0.0000 0.5000
Co 0.0000 0.0000 0.0000
Ba 0.0000 0.5000 0.0000

=====

A plane-wave DFT calculation with PBE was carried out for Ba2HfCoSi after structural relaxation.

Calculated values
energy relative to the elements, uncorrected	1087.6	meV/atom
DFT total energy	-20.89	eV/cell

Cell lengths 6.3142, 5.0077, 6.3142 Å; angles 90.00, 90.00, 90.00 degrees
Each line ends with the local moment (μB).
Sites, in units of the cell vectors:
Ba 0.5000 0.0000 0.0000  0.00
Co 0.5000 0.5000 0.5000  2.07
Si 0.0000 0.5000 0.0000  0.01
Hf 0.0000 0.0000 0.0000  0.16
Ba 0.0000 0.0000 0.5000  0.01

=====

A plane-wave DFT calculation with PBE was carried out for BaHf2CoTe after structural relaxation.

Calculated values
energy relative to the elements, uncorrected	1178.5	meV/atom
DFT total energy	-26.18	eV/cell

Cell lengths 5.2855, 6.2644, 5.2855 Å; angles 90.00, 90.00, 90.00 degrees
Each line ends with the local moment (μB).
Sites, in units of the cell vectors:
Te 0.0000 0.0000 0.0000  0.00
Hf 0.0000 0.0000 0.5000  0.08
Hf 0.5000 0.0000 0.0000  -0.01
Co 0.5000 0.5000 0.5000  2.08
Ba 0.0000 0.5000 0.0000  -0.04

=====

What is the DFT total energy in the fourth record? -26.18 eV/cell